The following is a DFT calculation (GGA-PBE) of NdLuCoPt after structural relaxation.

abc: 6.9016 6.9016 6.9016
angles: 90.00 90.00 90.00
Last column: nearest neighbours and their distance in Å.
Space group F-43m (No. 216)
Asymmetric unit:
Nd1 0.0000 0.0000 0.0000  4 Co 2.99, 4 Pt 2.99
Lu1 0.0000 0.0000 0.5000  4 Co 2.99, 4 Pt 2.99
Co1 0.2500 0.2500 0.2500  4 Nd 2.99, 4 Lu 2.99
Pt1 0.2500 0.2500 0.7500  4 Nd 2.99, 4 Lu 2.99

## Properties
calculated volume: 328.7 Å³ per cell
energy of formation: -0.59 eV/atom
spin magnetization: 0.03 μB per formula unit